Entry from Alexandria via LeMat-Bulk: a relaxed structure of AcGaGeH (PBE).

VASP energy   -4.29 eV per atom
Total magnetic moment   0.00 μB/f.u.

a = 4.4452 Å, b = 4.4452 Å, c = 4.6266 Å
α = 90.00°, β = 90.00°, γ = 120.00°
With the nearest neighbours (Å) after each atom.
Space group P3m1 (No. 156)
Inequivalent atoms, fractional coordinates:
Ac: 0.0000 0.0000 0.0000 x1  3 H 2.61
Ga: 0.3333 0.6667 0.5008 x1  1 H 1.84
Ge: 0.6667 0.3333 0.5364 x1  3 Ga 2.57
H: 0.3333 0.6667 0.1028 x1  1 Ga 1.84

Entry from Alexandria via LeMat-Bulk: a relaxed structure of Ac2GaHgGe (PBE).

E_form   -531 meV/atom
Total magnetic moment   0.00 μB/f.u.

a = 7.9476 Å, b = 4.7917 Å, c = 8.0939 Å
α = 90.00°, β = 91.25°, γ = 90.00°
With the nearest neighbours (Å) after each atom.
Space group P2_1/m (No. 11)
Inequivalent atoms, fractional coordinates:
Ac: 0.2190 0.2500 0.0001 x2  3 Ge 3.31, 3 Hg 3.38-3.63, 3 Ga 3.40-3.42
Ac: 0.2301 0.2500 0.4959 x2  3 Ge 3.20-3.30, 2 Hg 3.46, 2 Ga 3.58
Ga: 0.4157 0.7500 0.7729 x2  1 Ge 2.53, 2 Hg 2.81
Hg: 0.3998 0.7500 0.2398 x2  2 Ga 2.81
Ge: 0.0982 0.7500 0.7411 x2  1 Ga 2.53

Entry from Alexandria via LeMat-Bulk: a relaxed structure of Ac3Ga6HgGe2 (PBE).

E_form   -259 meV/atom
Total magnetic moment   0.00 μB/f.u.

a = 6.4845 Å, b = 6.4845 Å, c = 8.5235 Å
α = 90.00°, β = 90.00°, γ = 120.00°
With the nearest neighbours (Å) after each atom.
Space group P-3m1 (No. 164)
Inequivalent atoms, fractional coordinates:
Ac: 0.0000 0.0000 0.0000 x1  6 Ga 3.29
Ac: 0.3333 0.6667 0.6396 x2  1 Ge 3.28, 9 Ga 3.32-3.39
Ga: 0.1965 0.3930 0.2856 x6  2 Ga 2.66, 1 Ge 2.71, 1 Hg 2.87
Hg: 0.0000 0.0000 0.5000 x1  6 Ga 2.87
Ge: 0.3333 0.6667 0.0239 x2  3 Ga 2.71

Entry from Alexandria via LeMat-Bulk: a relaxed structure of AcGaHgGe (PBE).

E_form   -268 meV/atom
Total magnetic moment   0.00 μB/f.u.

a = 7.4856 Å, b = 7.4856 Å, c = 7.4856 Å
α = 90.00°, β = 90.00°, γ = 90.00°
With the nearest neighbours (Å) after each atom.
Space group F-43m (No. 216)
Inequivalent atoms, fractional coordinates:
Ac: 0.0000 0.0000 0.0000 x4  4 Hg 3.24, 4 Ge 3.24
Ga: 0.0000 0.0000 0.5000 x4  4 Ge 3.24, 4 Hg 3.24
Hg: 0.2500 0.2500 0.7500 x4  4 Ac 3.24, 4 Ga 3.24
Ge: 0.2500 0.2500 0.2500 x4  4 Ac 3.24, 4 Ga 3.24

Entry from Alexandria via LeMat-Bulk: a relaxed structure of AcHoGaGe (PBE).

E_form   -494 meV/atom
Total magnetic moment   0.00 μB/f.u.

a = 7.4908 Å, b = 7.4908 Å, c = 7.4908 Å
α = 90.00°, β = 90.00°, γ = 90.00°
With the nearest neighbours (Å) after each atom.
Space group F-43m (No. 216)
Inequivalent atoms, fractional coordinates:
Ac: 0.0000 0.0000 0.0000 x4  4 Ge 3.24, 4 Ga 3.24
Ho: 0.0000 0.0000 0.5000 x4  4 Ge 3.24, 4 Ga 3.24
Ga: 0.2500 0.2500 0.2500 x4  4 Ho 3.24, 4 Ac 3.24
Ge: 0.2500 0.2500 0.7500 x4  4 Ac 3.24, 4 Ho 3.24

Entry from Alexandria via LeMat-Bulk: a relaxed structure of AcHoGa2Ge2 (PBE).

E_form   -644 meV/atom
Total magnetic moment   0.00 μB/f.u.

a = 4.2341 Å, b = 4.2341 Å, c = 9.1079 Å
α = 90.00°, β = 90.00°, γ = 120.00°
With the nearest neighbours (Å) after each atom.
Space group P-3m1 (No. 164)
Inequivalent atoms, fractional coordinates:
Ac: 0.0000 0.0000 0.0000 x1  6 Ga 3.21
Ho: 0.0000 0.0000 0.5000 x1  6 Ge 3.00
Ga: 0.3333 0.6667 0.7715 x2  3 Ge 2.55
Ge: 0.3333 0.6667 0.3099 x2  3 Ga 2.55

Ordered N(E_F) results: 1.693; 7.391; 11.418; 11.567; 9.814; 0.842; unit states/eV/cell.